The following is a PBE calculation of a relaxed structure of Li8Ca3Pb, from Alexandria.

Lattice parameters (Å, degrees): 5.8053 5.8053 30.1983 90.00 90.00 120.00
With the nearest neighbours (Å) after each atom.
Space group R3m (No. 160, hexagonal axes)
Unique sites:
Li (0.0000, 0.0000, 0.0000) x3  6 Li 2.92-2.98
Li (0.0000, 0.0000, 0.4970) x3  6 Li 3.06-3.14
Li (0.0010, 0.5005, 0.7459) x9  6 Li 2.89-3.06
Li (0.0057, 0.5029, 0.2523) x9  6 Li 2.85-3.14
Ca (0.0000, 0.0000, 0.1886) x3  12 Li 3.43-3.70, 3 Ca 3.73
Ca (0.0000, 0.0000, 0.3168) x3  12 Li 3.34-3.50, 3 Pb 3.51
Ca (0.0000, 0.0000, 0.8013) x3  9 Li 3.35-3.47, 1 Pb 3.51, 3 Ca 3.73
Pb (0.0000, 0.0000, 0.6850) x3  12 Li 3.40-3.44, 4 Ca 3.51

Results
Calculated formation energy, eV per atom: -0.0939
Calculated volume, Å³ per atom: 24.48
M_tot, μB/cell: 0.00